YPW2 meta-GGA SCAN single point on PBEsol structure; total moment = 0.000 μB/atom; mass density = 12.1 g/cm³; symmetry = F-43m; final energy = -44.000 eV per atom
1.0
0.000 3.226 3.226
3.226 0.000 3.226
3.226 3.226 0.000
Y P W
1 1 2
Direct
0.000 0.000 0.000
0.250 0.250 0.250
0.500 0.500 0.500
0.750 0.750 0.750


ZnCIO2 meta-GGA SCAN single point on PBEsol structure; formation energy from raw total energies = 1.1564 eV/atom; total moment = 0.001 μB/atom; mass density = 6.4 g/cm³; symmetry = P4/mmm
1.0
3.721 0.000 0.000
0.000 3.721 0.000
0.000 0.000 4.446
Zn C I O
1 1 1 2
Direct
0.000 0.000 0.000
0.500 0.500 0.500
0.500 0.500 0.000
0.000 0.500 0.500
0.500 0.000 0.500


NbSI meta-GGA SCAN single point on PBEsol structure; formation energy from raw total energies = -0.9352 eV/atom; total moment = 0.169 μB/atom; mass density = 5.6 g/cm³; symmetry = F-43m
1.0
0.000 5.297 5.297
5.297 0.000 5.297
5.297 5.297 0.000
Nb S I
4 4 4
Direct
0.098 0.098 0.098
0.098 0.098 0.705
0.098 0.705 0.098
0.705 0.098 0.098
0.380 0.873 0.873
0.873 0.380 0.873
0.873 0.873 0.380
0.873 0.873 0.873
0.375 0.375 0.375
0.375 0.375 0.876
0.375 0.876 0.375
0.876 0.375 0.375


MnP2WCl meta-GGA SCAN single point on PBEsol structure; formation energy from raw total energies = 0.4142 eV/atom; total moment = 1.087 μB/atom; mass density = 5.4 g/cm³; symmetry = P4/mmm
1.0
4.671 0.000 0.000
0.000 4.671 0.000
0.000 0.000 4.743
Mn P W Cl
1 2 1 1
Direct
0.000 0.000 0.000
0.000 0.500 0.500
0.500 0.000 0.500
0.500 0.500 0.500
0.500 0.500 0.000